(1)
The following is a DFT calculation (PBE-GGA) of CoPt after structural relaxation.

POSCAR file:
```
CoPt
1.0
0.000 4.404 5.032
2.651 0.000 5.032
2.651 4.404 0.000
Co Pt
4 4
direct
0.102 0.648 0.648
0.352 0.898 0.898
0.648 0.102 0.102
0.898 0.352 0.352
0.134 0.616 0.134
0.384 0.866 0.384
0.616 0.134 0.616
0.866 0.384 0.866
```

Output
For the total energy, the calculation gives -6.268 eV per atom.


(2)
The following is a DFT calculation (PBE-GGA) of CoPt4 after structural relaxation.

POSCAR file:
```
CoPt4
1.0
4.497 0.000 0.000
0.000 4.497 0.000
0.000 0.000 4.497
Co Pt
1 4
direct
0.000 0.000 0.000
0.000 0.000 0.500
0.000 0.500 0.000
0.500 0.000 0.000
0.500 0.500 0.500
```

Output
The calculation puts the offset from the most stable computed form at 1146 meV per atom.


(3)
The following is a DFT calculation (PBE-GGA) of CoPt3 after structural relaxation.

POSCAR file:
```
CoPt3
1.0
-1.377 4.524 2.373
1.377 -4.524 2.373
1.377 4.524 -2.373
Co Pt
1 3
direct
0.000 0.000 0.000
0.083 0.341 0.742
0.488 0.988 0.500
0.599 0.341 0.258
```

Output
For the total energy, the calculation gives -6.329 eV per atom.


(4)
The following is a DFT calculation (PBE-GGA) of CoPt2 after structural relaxation.

POSCAR file:
```
CoPt2
1.0
-1.356 1.356 12.000
1.356 -1.356 12.000
1.356 1.356 -12.000
Co Pt
2 4
direct
0.375 0.625 0.750
0.625 0.375 0.250
0.050 0.800 0.250
0.200 0.950 0.250
0.800 0.050 0.750
0.950 0.200 0.750
```

Output
For the total energy, the calculation gives -6.435 eV per atom.


(5)
The following is a DFT calculation (PBE-GGA) of Co3Pt after structural relaxation.

POSCAR file:
```
Co3Pt
1.0
4.162 0.000 0.000
0.000 5.196 0.000
0.000 0.000 4.520
Co Pt
6 2
direct
0.250 0.002 0.158
0.250 0.498 0.158
0.250 0.750 0.685
0.750 0.250 0.315
0.750 0.502 0.842
0.750 0.998 0.842
0.250 0.250 0.662
0.750 0.750 0.338
```

Output
For the total energy, the calculation gives -6.930 eV per atom.


(6)
The following is a DFT calculation (PBE-GGA) of Co7Pt6 after structural relaxation.

POSCAR file:
```
Co7Pt6
1.0
2.390 1.380 8.726
-2.390 1.380 8.726
0.000 -2.759 8.726
Co Pt
7 6
direct
0.000 0.000 0.000
0.092 0.092 0.588
0.092 0.588 0.092
0.412 0.908 0.908
0.588 0.092 0.092
0.908 0.412 0.908
0.908 0.908 0.412
0.164 0.164 0.164
0.347 0.347 0.347
0.451 0.451 0.451
0.549 0.549 0.549
0.653 0.653 0.653
0.836 0.836 0.836
```

Output
For the total energy, the calculation gives -6.658 eV per atom.


(7)
The following is a DFT calculation (PBE-GGA) of CoPt after structural relaxation.

POSCAR file:
```
CoPt
1.0
4.292 0.000 0.000
-2.146 3.717 0.000
0.000 0.000 10.448
Co Pt
6 6
direct
0.000 0.000 0.124
0.000 0.000 0.876
0.333 0.667 0.260
0.333 0.667 0.497
0.667 0.333 0.503
0.667 0.333 0.740
0.000 0.000 0.374
0.000 0.000 0.626
0.333 0.667 0.012
0.333 0.667 0.749
0.667 0.333 0.251
0.667 0.333 0.988
```

Output
For the total energy, the calculation gives -6.502 eV per atom.


(8)
The following is a DFT calculation (PBE-GGA) of Co5Pt after structural relaxation.

POSCAR file:
```
Co5Pt
1.0
1.814 -5.368 0.000
1.814 5.368 0.000
0.000 0.000 3.633
Co Pt
5 1
direct
0.000 0.000 0.000
0.173 0.827 0.500
0.328 0.672 0.000
0.672 0.328 0.000
0.827 0.173 0.500
0.500 0.500 0.500
```

Output
For the total energy, the calculation gives -6.960 eV per atom.


no.,DOS(E_F) (states/eV/f.u.)
1,3.00
2,5.02
3,5.12
4,3.09
5,3.10
6,14.88
7,2.40
8,6.74